No. 1
Entry from Alexandria: a geometry-optimized Er3BeI3 structure (PBE).

Cell and atoms, written as CIF:
```
data_Er3BeI3
_space_group_name_H-M_alt 'I 41 3 2'
_space_group_IT_number 214
_space_group_name_Hall 'I 4bd 2c 3'
_cell_length_a 11.9355
_cell_length_b 11.9355
_cell_length_c 11.9355
_cell_angle_alpha 90.00
_cell_angle_beta 90.00
_cell_angle_gamma 90.00
loop_
_atom_site_label
_atom_site_type_symbol
_atom_site_fract_x
_atom_site_fract_y
_atom_site_fract_z
Er1 Er 0.1017 0.3517 0.1250
Be1 Be 0.1250 0.1250 0.1250
I1 I 0.1169 0.1331 0.6250
```

Output
V (Å³ per atom): 30.4
Magnetic moment (μB per formula unit): 0.0
Formation energy (no corrections) (meV per atom): -753.0

No. 2
Entry from Alexandria: a geometry-optimized BaTb2Er structure (PBE).

Cell and atoms, written as CIF:
```
data_BaTb2Er
_space_group_name_H-M_alt 'P 4/m m m'
_space_group_IT_number 123
_space_group_name_Hall '-P 4 2'
_cell_length_a 3.6950
_cell_length_b 3.6950
_cell_length_c 10.7168
_cell_angle_alpha 90.00
_cell_angle_beta 90.00
_cell_angle_gamma 90.00
loop_
_atom_site_label
_atom_site_type_symbol
_atom_site_fract_x
_atom_site_fract_y
_atom_site_fract_z
Ba1 Ba 0.0000 0.0000 0.0000
Tb1 Tb 0.5000 0.5000 0.2847
Er1 Er 0.0000 0.0000 0.5000
```

Output
V (Å³ per atom): 36.6
Magnetic moment (μB per formula unit): 0.0
Formation energy (eV/atom): 0.15

No. 3
Entry from Alexandria: a geometry-optimized TaFe5 structure (PBE).

Cell and atoms, written as CIF:
```
data_TaFe5
_space_group_name_H-M_alt 'P 6/m m m'
_space_group_IT_number 191
_space_group_name_Hall '-P 6 2'
_cell_length_a 4.6611
_cell_length_b 4.6611
_cell_length_c 3.9834
_cell_angle_alpha 90.00
_cell_angle_beta 90.00
_cell_angle_gamma 120.00
loop_
_atom_site_label
_atom_site_type_symbol
_atom_site_fract_x
_atom_site_fract_y
_atom_site_fract_z
Ta1 Ta 0.0000 0.0000 0.0000
Fe1 Fe 0.0000 0.5000 0.5000
Fe2 Fe 0.3333 0.6667 0.0000
```

Output
V (Å³ per atom): 12.5
Magnetic moment (μB per formula unit): 7.3
Formation energy (eV/atom): 0.08

No. 4
Entry from Alexandria: a geometry-optimized Zr7As4 structure (PBE).

Cell and atoms, written as CIF:
```
data_Zr7As4
_space_group_name_H-M_alt 'C 1 2/m 1'
_space_group_IT_number 12
_cell_length_a 16.3410
_cell_length_b 3.6999
_cell_length_c 15.1690
_cell_angle_alpha 90.00
_cell_angle_beta 104.74
_cell_angle_gamma 90.00
loop_
_space_group_symop_operation_xyz
'x,y,z'
'-x,-y,-z'
'-x,y,-z'
'x,-y,z'
'x+1/2,y+1/2,z'
'-x+1/2,-y+1/2,-z'
'-x+1/2,y+1/2,-z'
'x+1/2,-y+1/2,z'
loop_
_atom_site_label
_atom_site_type_symbol
_atom_site_fract_x
_atom_site_fract_y
_atom_site_fract_z
Zr1 Zr 0.0000 0.0000 0.0000
Zr2 Zr 0.0000 0.5000 0.5000
Zr3 Zr 0.0026 0.0000 0.6640
Zr4 Zr 0.0695 0.5000 0.1668
Zr5 Zr 0.1618 0.5000 0.9677
Zr6 Zr 0.1786 0.0000 0.5434
Zr7 Zr 0.1953 0.0000 0.3079
Zr8 Zr 0.2058 0.0000 0.7958
As1 As 0.0623 0.0000 0.8502
As2 As 0.1278 0.5000 0.4003
As3 As 0.1300 0.5000 0.6606
As4 As 0.1773 0.0000 0.1089
```

Output
V (Å³ per atom): 20.2
Magnetic moment (μB per formula unit): 0.0
Formation energy (eV/atom): -1.01

No. 5
Entry from Alexandria: a geometry-optimized KLiFe2 structure (PBE).

Cell and atoms, written as CIF:
```
data_KLiFe2
_space_group_name_H-M_alt 'P 1 m 1'
_space_group_IT_number 6
_cell_length_a 3.0905
_cell_length_b 3.2158
_cell_length_c 8.5034
_cell_angle_alpha 90.00
_cell_angle_beta 90.22
_cell_angle_gamma 90.00
loop_
_space_group_symop_operation_xyz
'x,y,z'
'x,-y,z'
loop_
_atom_site_label
_atom_site_type_symbol
_atom_site_fract_x
_atom_site_fract_y
_atom_site_fract_z
K1 K 0.0000 0.0000 0.0000
Li1 Li 0.5022 0.5000 0.6195
Fe1 Fe 0.0009 0.0000 0.4212
Fe2 Fe 0.4999 0.5000 0.3117
```

Output
V (Å³ per atom): 21.1
Magnetic moment (μB per formula unit): 5.2
Formation energy (eV/atom): 0.54

No. 6
Entry from Alexandria: a geometry-optimized SmDy2Ga2 structure (PBE).

Cell and atoms, written as CIF:
```
data_SmDy2Ga2
_space_group_name_H-M_alt 'P 4/m b m'
_space_group_IT_number 127
_space_group_name_Hall '-P 4 2ab'
_cell_length_a 7.6776
_cell_length_b 7.6776
_cell_length_c 4.3714
_cell_angle_alpha 90.00
_cell_angle_beta 90.00
_cell_angle_gamma 90.00
loop_
_atom_site_label
_atom_site_type_symbol
_atom_site_fract_x
_atom_site_fract_y
_atom_site_fract_z
Sm1 Sm 0.0000 0.0000 0.0000
Dy1 Dy 0.1739 0.3261 0.5000
Ga1 Ga 0.1188 0.6188 0.0000
```

Output
V (Å³ per atom): 25.8
Magnetic moment (μB per formula unit): 0.0
Formation energy (eV/atom): -0.49

No. 7
Entry from Alexandria: a geometry-optimized PuThZnCu structure (PBE).

Cell and atoms, written as CIF:
```
data_PuThZnCu
_space_group_name_H-M_alt 'F -4 3 m'
_space_group_IT_number 216
_space_group_name_Hall 'F -4 2 3'
_cell_length_a 7.1510
_cell_length_b 7.1510
_cell_length_c 7.1510
_cell_angle_alpha 90.00
_cell_angle_beta 90.00
_cell_angle_gamma 90.00
loop_
_atom_site_label
_atom_site_type_symbol
_atom_site_fract_x
_atom_site_fract_y
_atom_site_fract_z
Pu1 Pu 0.0000 0.0000 0.0000
Th1 Th 0.0000 0.0000 0.5000
Zn1 Zn 0.2500 0.2500 0.7500
Cu1 Cu 0.2500 0.2500 0.2500
```

Output
V (Å³ per atom): 22.9
Magnetic moment (μB per formula unit): 6.3
Formation energy (eV/atom): -0.01

No. 8
Entry from Alexandria: a geometry-optimized YRh3N structure (PBE).

Cell and atoms, written as CIF:
```
data_YRh3N
_space_group_name_H-M_alt 'P m -3 m'
_space_group_IT_number 221
_space_group_name_Hall '-P 4 2 3'
_cell_length_a 4.9892
_cell_length_b 4.9892
_cell_length_c 4.9892
_cell_angle_alpha 90.00
_cell_angle_beta 90.00
_cell_angle_gamma 90.00
loop_
_atom_site_label
_atom_site_type_symbol
_atom_site_fract_x
_atom_site_fract_y
_atom_site_fract_z
Y1 Y 0.0000 0.0000 0.0000
Rh1 Rh 0.0000 0.0000 0.5000
N1 N 0.5000 0.5000 0.5000
```

Output
V (Å³ per atom): 24.8
Magnetic moment (μB per formula unit): 4.1
Formation energy (no corrections) (meV per atom): 2366.2

No. 9
Entry from Alexandria: a geometry-optimized Tc2RuPt structure (PBE).

Cell and atoms, written as CIF:
```
data_Tc2RuPt
_space_group_name_H-M_alt 'P 4/m m m'
_space_group_IT_number 123
_space_group_name_Hall '-P 4 2'
_cell_length_a 3.3087
_cell_length_b 3.3087
_cell_length_c 5.5170
_cell_angle_alpha 90.00
_cell_angle_beta 90.00
_cell_angle_gamma 90.00
loop_
_atom_site_label
_atom_site_type_symbol
_atom_site_fract_x
_atom_site_fract_y
_atom_site_fract_z
Tc1 Tc 0.0000 0.0000 0.2257
Ru1 Ru 0.5000 0.5000 0.0000
Pt1 Pt 0.5000 0.5000 0.5000
```

Output
V (Å³ per atom): 15.1
Magnetic moment (μB per formula unit): 0.0
Formation energy (eV/atom): 0.25

No. 10
Entry from Alexandria: a geometry-optimized NiSb2Rh structure (PBE).

Cell and atoms, written as CIF:
```
data_NiSb2Rh
_space_group_name_H-M_alt 'R -3 m'
_space_group_IT_number 166
_space_group_name_Hall '-R 3 2"'
_cell_length_a 3.3217
_cell_length_b 3.3217
_cell_length_c 22.9057
_cell_angle_alpha 90.00
_cell_angle_beta 90.00
_cell_angle_gamma 120.00
loop_
_atom_site_label
_atom_site_type_symbol
_atom_site_fract_x
_atom_site_fract_y
_atom_site_fract_z
Ni1 Ni 0.0000 0.0000 0.0000
Sb1 Sb 0.0000 0.0000 0.2532
Rh1 Rh 0.0000 0.0000 0.5000
```

Output
V (Å³ per atom): 18.2
Magnetic moment (μB per formula unit): 0.0
Formation energy (no corrections) (meV per atom): -90.7

No. 11
Entry from Alexandria: a geometry-optimized CaZn6Ag4 structure (PBE).

Cell and atoms, written as CIF:
```
data_CaZn6Ag4
_space_group_name_H-M_alt 'I -4 2 m'
_space_group_IT_number 121
_space_group_name_Hall 'I -4 2'
_cell_length_a 6.8289
_cell_length_b 6.8289
_cell_length_c 9.7235
_cell_angle_alpha 90.00
_cell_angle_beta 90.00
_cell_angle_gamma 90.00
loop_
_atom_site_label
_atom_site_type_symbol
_atom_site_fract_x
_atom_site_fract_y
_atom_site_fract_z
Ca1 Ca 0.0000 0.0000 0.0000
Zn1 Zn 0.0000 0.5000 0.0000
Zn2 Zn 0.1931 0.1931 0.3075
Ag1 Ag 0.1725 0.1725 0.5854
```

Output
V (Å³ per atom): 20.6
Magnetic moment (μB per formula unit): 0.0
Formation energy (eV/atom): 0.02